No. 1
## TaTc2Ag (PBE)

Data for a relaxed structure of TaTc2Ag.

a = 2.761 Å, b = 2.761 Å, c = 9.116 Å
α = 90.00°, β = 90.00°, γ = 109.62°
Fractional positions:
Ta: 0.000 0.000 0.000
Tc: 0.500 0.500 0.236
Tc: 0.500 0.500 0.764
Ag: 0.000 0.000 0.500

## Properties
calculated formation energy = 0.175 eV/atom
offset from the most stable computed form = 0.0 meV per atom


No. 2
## RbFeGe2 (PBE)

Data for a relaxed structure of RbFeGe2.

a = 7.110 Å, b = 7.110 Å, c = 7.110 Å
α = 32.96°, β = 32.96°, γ = 32.96°
Fractional positions:
Rb: 0.000 0.000 0.000
Fe: 0.500 0.500 0.500
Ge: 0.201 0.201 0.201
Ge: 0.799 0.799 0.799

## Properties
calculated formation energy = 0.077 eV/atom
offset from the most stable computed form = 34.1 meV per atom


No. 3
## SrCdSbPd3 (PBE)

Data for a relaxed structure of SrCdSbPd3.

a = 9.201 Å, b = 9.201 Å, c = 5.945 Å
α = 90.00°, β = 90.00°, γ = 143.02°
Fractional positions:
Sr: 0.211 0.789 0.750
Sr: 0.789 0.211 0.250
Cd: 0.109 0.891 0.250
Cd: 0.891 0.109 0.750
Sb: 0.411 0.589 0.250
Sb: 0.589 0.411 0.750
Pd: 0.240 0.240 0.000
Pd: 0.240 0.240 0.500
Pd: 0.263 0.737 0.250
Pd: 0.737 0.263 0.750
Pd: 0.760 0.760 0.000
Pd: 0.760 0.760 0.500

## Properties
formation energy without anion corrections = -405 meV/atom


No. 4
## DyZrSb2 (PBE)

Data for a relaxed structure of DyZrSb2.

a = 7.719 Å, b = 7.719 Å, c = 7.719 Å
α = 31.29°, β = 31.29°, γ = 31.29°
Fractional positions:
Dy: 0.000 0.000 0.000
Zr: 0.828 0.828 0.828
Sb: 0.417 0.417 0.417
Sb: 0.576 0.576 0.576

## Properties
offset from the most stable computed form = 41.8 meV per atom
formation energy without anion corrections = -806 meV/atom


No. 5
## RbAc2NpSe5 (PBE)

Data for a relaxed structure of RbAc2NpSe5.

a = 8.983 Å, b = 8.983 Å, c = 8.983 Å
α = 145.39°, β = 128.63°, γ = 63.43°
Fractional positions:
Rb: 0.000 0.000 0.000
Ac: 0.295 0.795 0.500
Ac: 0.705 0.205 0.500
Np: 0.500 0.500 0.000
Se: 0.118 0.352 0.766
Se: 0.414 0.648 0.766
Se: 0.500 0.000 0.500
Se: 0.586 0.352 0.234
Se: 0.882 0.648 0.234

## Properties
formation energy without anion corrections = -1608 meV/atom


No. 6
## TbPrNd5 (PBE)

Data for a relaxed structure of TbPrNd5.

a = 8.072 Å, b = 8.072 Å, c = 8.072 Å
α = 136.88°, β = 113.59°, γ = 82.52°
Fractional positions:
Tb: 0.000 0.000 0.000
Pr: 0.500 0.500 0.000
Nd: 0.176 0.500 0.676
Nd: 0.250 0.250 0.000
Nd: 0.500 0.000 0.500
Nd: 0.750 0.750 0.000
Nd: 0.824 0.500 0.324

## Properties
calculated formation energy = 0.958 eV/atom
offset from the most stable computed form = 894.1 meV per atom


No. 7
## Ag3GeBi (PBE)

Data for a relaxed structure of Ag3GeBi.

a = 4.956 Å, b = 4.956 Å, c = 4.956 Å
α = 90.00°, β = 90.00°, γ = 90.00°
Fractional positions:
Ag: 0.000 0.000 0.500
Ag: 0.000 0.500 0.000
Ag: 0.500 0.000 0.000
Ge: 0.000 0.000 0.000
Bi: 0.500 0.500 0.500

## Properties
calculated formation energy = 0.436 eV/atom
offset from the most stable computed form = 0.0 meV per atom


No. 8
## NaCaIn2Os (PBE)

Data for a relaxed structure of NaCaIn2Os.

a = 5.655 Å, b = 5.655 Å, c = 5.299 Å
α = 90.00°, β = 90.00°, γ = 90.00°
Fractional positions:
Na: 0.000 0.000 0.000
Ca: 0.000 0.000 0.500
In: 0.000 0.500 0.500
In: 0.500 0.000 0.500
Os: 0.500 0.500 0.000

## Properties
calculated formation energy = 1.778 eV/atom


No. 9
## LaTbTeSe (PBE)

Data for a relaxed structure of LaTbTeSe.

a = 7.953 Å, b = 7.953 Å, c = 7.953 Å
α = 30.68°, β = 30.68°, γ = 30.68°
Fractional positions:
La: 0.000 0.000 0.000
Tb: 0.187 0.187 0.187
Te: 0.431 0.431 0.431
Se: 0.590 0.590 0.590

## Properties
formation energy without anion corrections = -1666 meV/atom


No. 10
## CdHg2As2 (PBE)

Data for a relaxed structure of CdHg2As2.

a = 6.073 Å, b = 6.073 Å, c = 6.073 Å
α = 124.96°, β = 124.96°, γ = 81.61°
Fractional positions:
Cd: 0.000 0.000 0.000
Hg: 0.250 0.750 0.500
Hg: 0.750 0.250 0.500
As: 0.281 0.281 0.000
As: 0.719 0.719 0.000

## Properties
calculated formation energy = 0.169 eV/atom
offset from the most stable computed form = 77.0 meV per atom


No. 11
## GaSbTe2Pt (PBE)

Data for a relaxed structure of GaSbTe2Pt.

a = 5.245 Å, b = 5.245 Å, c = 5.159 Å
α = 90.00°, β = 90.00°, γ = 90.00°
Fractional positions:
Ga: 0.000 0.000 0.000
Sb: 0.000 0.000 0.500
Te: 0.000 0.500 0.000
Te: 0.500 0.000 0.000
Pt: 0.500 0.500 0.500

## Properties
offset from the most stable computed form = 625.3 meV per atom
formation energy without anion corrections = 903 meV/atom


No. 12
## Pm2Fe5Si4 (PBE)

Data for a relaxed structure of Pm2Fe5Si4.

a = 8.019 Å, b = 7.036 Å, c = 5.464 Å
α = 78.71°, β = 59.36°, γ = 41.93°
Fractional positions:
Pm: 0.134 0.134 0.866
Pm: 0.866 0.866 0.134
Fe: 0.000 0.000 0.500
Fe: 0.250 0.250 0.250
Fe: 0.500 0.500 0.000
Fe: 0.500 0.500 0.500
Fe: 0.750 0.750 0.750
Si: 0.216 0.516 0.484
Si: 0.484 0.784 0.216
Si: 0.516 0.216 0.784
Si: 0.784 0.484 0.516

## Properties
formation energy without anion corrections = -496 meV/atom


No. 13
## ReNiIr3 (PBE)

Data for a relaxed structure of ReNiIr3.

a = 2.716 Å, b = 6.606 Å, c = 8.865 Å
α = 68.38°, β = 81.27°, γ = 78.45°
Fractional positions:
Re: 0.178 0.222 0.427
Re: 0.822 0.778 0.573
Ni: 0.089 0.794 0.062
Ni: 0.911 0.206 0.938
Ir: 0.130 0.986 0.748
Ir: 0.280 0.566 0.859
Ir: 0.500 0.357 0.647
Ir: 0.500 0.643 0.353
Ir: 0.720 0.434 0.141
Ir: 0.870 0.014 0.252

## Properties
calculated formation energy = 0.097 eV/atom
offset from the most stable computed form = 0.0 meV per atom


No. 14
## SmEr2Sn2Hg2 (PBE)

Data for a relaxed structure of SmEr2Sn2Hg2.

a = 9.270 Å, b = 9.270 Å, c = 9.270 Å
α = 31.23°, β = 31.23°, γ = 31.23°
Fractional positions:
Sm: 0.000 0.000 0.000
Er: 0.132 0.132 0.132
Er: 0.868 0.868 0.868
Sn: 0.268 0.268 0.268
Sn: 0.732 0.732 0.732
Hg: 0.435 0.435 0.435
Hg: 0.565 0.565 0.565

## Properties
calculated formation energy = -0.322 eV/atom


No. 15
## YMn2Tl (PBE)

Data for a relaxed structure of YMn2Tl.

a = 5.105 Å, b = 5.105 Å, c = 5.105 Å
α = 127.52°, β = 127.52°, γ = 77.40°
Fractional positions:
Y: 0.000 0.000 0.000
Mn: 0.250 0.750 0.500
Mn: 0.750 0.250 0.500
Tl: 0.500 0.500 0.000

## Properties
calculated formation energy = 0.288 eV/atom
offset from the most stable computed form = 56.8 meV per atom


No. 16
## Sr2In2Sn (PBE)

Data for a relaxed structure of Sr2In2Sn.

a = 10.611 Å, b = 10.611 Å, c = 10.611 Å
α = 157.47°, β = 157.47°, γ = 32.08°
Fractional positions:
Sr: 0.100 0.100 0.000
Sr: 0.900 0.900 0.000
In: 0.250 0.750 0.500
In: 0.750 0.250 0.500
Sn: 0.500 0.500 0.000

## Properties
calculated formation energy = -0.319 eV/atom
offset from the most stable computed form = 142.7 meV per atom


No. 17
## Pr3Cd3Ag8 (PBE)

Data for a relaxed structure of Pr3Cd3Ag8.

a = 8.785 Å, b = 8.785 Å, c = 8.785 Å
α = 148.66°, β = 111.63°, γ = 77.14°
Fractional positions:
Pr: 0.000 0.000 0.000
Pr: 0.294 0.294 0.000
Pr: 0.706 0.706 0.000
Cd: 0.306 0.500 0.806
Cd: 0.500 0.000 0.500
Cd: 0.694 0.500 0.194
Ag: 0.027 0.665 0.362
Ag: 0.147 0.865 0.282
Ag: 0.303 0.665 0.638
Ag: 0.417 0.135 0.282
Ag: 0.583 0.865 0.718
Ag: 0.697 0.335 0.362
Ag: 0.853 0.135 0.718
Ag: 0.973 0.335 0.638

## Properties
calculated formation energy = -0.208 eV/atom


No. 18
## Cs3SrLi2Cl6 (PBE)

Data for a relaxed structure of Cs3SrLi2Cl6.

a = 7.750 Å, b = 7.750 Å, c = 9.267 Å
α = 90.00°, β = 90.00°, γ = 120.00°
Fractional positions:
Cs: 0.000 0.000 0.000
Cs: 0.333 0.667 0.657
Cs: 0.667 0.333 0.343
Sr: 0.000 0.000 0.500
Li: 0.333 0.667 0.229
Li: 0.667 0.333 0.771
Cl: 0.170 0.340 0.311
Cl: 0.170 0.830 0.311
Cl: 0.340 0.170 0.689
Cl: 0.660 0.830 0.311
Cl: 0.830 0.170 0.689
Cl: 0.830 0.660 0.689

## Properties
formation energy without anion corrections = -1850 meV/atom


No. 19
## TlAg3P2 (PBE)

Data for a relaxed structure of TlAg3P2.

a = 5.942 Å, b = 5.942 Å, c = 4.825 Å
α = 90.00°, β = 90.00°, γ = 131.06°
Fractional positions:
Tl: 0.000 0.000 0.000
Ag: 0.335 0.665 0.000
Ag: 0.500 0.500 0.500
Ag: 0.665 0.335 0.000
P: 0.271 0.729 0.500
P: 0.729 0.271 0.500

## Properties
calculated formation energy = 0.190 eV/atom


No. 20
## NbAs3Rh (PBE)

Data for a relaxed structure of NbAs3Rh.

a = 4.732 Å, b = 4.732 Å, c = 4.732 Å
α = 90.00°, β = 90.00°, γ = 90.00°
Fractional positions:
Nb: 0.000 0.000 0.000
As: 0.000 0.500 0.500
As: 0.500 0.000 0.500
As: 0.500 0.500 0.000
Rh: 0.500 0.500 0.500

## Properties
calculated formation energy = 0.742 eV/atom
offset from the most stable computed form = 7.7 meV per atom


No. 21
## Be2CuTc (PBE)

Data for a relaxed structure of Be2CuTc.

a = 4.638 Å, b = 4.638 Å, c = 4.638 Å
α = 146.76°, β = 124.36°, γ = 66.37°
Fractional positions:
Be: 0.235 0.235 0.000
Be: 0.765 0.765 0.000
Cu: 0.000 0.500 0.500
Tc: 0.500 0.000 0.500

## Properties
calculated formation energy = 0.127 eV/atom
offset from the most stable computed form = 274.2 meV per atom


No. 22
## Pr2MgZr (PBE)

Data for a relaxed structure of Pr2MgZr.

a = 5.491 Å, b = 5.491 Å, c = 5.491 Å
α = 60.00°, β = 60.00°, γ = 60.00°
Fractional positions:
Pr: 0.250 0.250 0.250
Pr: 0.750 0.750 0.750
Mg: 0.000 0.000 0.000
Zr: 0.500 0.500 0.500

## Properties
calculated formation energy = 0.135 eV/atom
offset from the most stable computed form = 89.0 meV per atom


No. 23
## Dy3S2N (PBE)

Data for a relaxed structure of Dy3S2N.

a = 3.653 Å, b = 3.653 Å, c = 19.771 Å
α = 90.00°, β = 90.00°, γ = 120.00°
Fractional positions:
Dy: 0.000 0.000 0.000
Dy: 0.000 0.000 0.500
Dy: 0.333 0.667 0.175
Dy: 0.333 0.667 0.325
Dy: 0.667 0.333 0.675
Dy: 0.667 0.333 0.825
S: 0.333 0.667 0.588
S: 0.333 0.667 0.912
S: 0.667 0.333 0.088
S: 0.667 0.333 0.412
N: 0.000 0.000 0.250
N: 0.000 0.000 0.750

## Properties
formation energy without anion corrections = -1695 meV/atom